1.
The following is a DFT calculation (PBE) of an optimized crystal structure of Li2LaMn.

Energy of formation, kJ/mol of formula units: 165
Offset from the most stable computed form, meV/atom: 187

Lattice parameters (Å, degrees): 5.599 5.599 3.112 90.00 90.00 118.11
Atoms (fractional coordinates):
Li 0.000 0.500 0.000
Li 0.500 0.000 0.000
La 0.000 0.000 0.500
Mn 0.500 0.500 0.500

2.
The following is a DFT calculation (PBE) of an optimized crystal structure of NaAg4Cl8.

Uncorrected formation energy, eV per atom: -0.522

Lattice parameters (Å, degrees): 7.917 7.917 7.917 59.03 59.03 59.03
Atoms (fractional coordinates):
Na 0.000 0.000 0.000
Ag 0.000 0.000 0.500
Ag 0.000 0.500 0.000
Ag 0.500 0.000 0.000
Ag 0.500 0.500 0.500
Cl 0.233 0.745 0.745
Cl 0.237 0.237 0.237
Cl 0.255 0.255 0.767
Cl 0.255 0.767 0.255
Cl 0.745 0.233 0.745
Cl 0.745 0.745 0.233
Cl 0.763 0.763 0.763
Cl 0.767 0.255 0.255

3.
The following is a DFT calculation (PBE) of an optimized crystal structure of KSr2MgPt.

Energy of formation, kJ/mol of formula units: -173

Lattice parameters (Å, degrees): 6.022 6.022 5.355 90.00 90.00 90.00
Atoms (fractional coordinates):
K 0.000 0.000 0.000
Sr 0.000 0.500 0.500
Sr 0.500 0.000 0.500
Mg 0.500 0.500 0.000
Pt 0.500 0.500 0.500

4.
The following is a DFT calculation (PBE) of an optimized crystal structure of Na2AsPd6.

Energy of formation, kJ/mol of formula units: -64

Lattice parameters (Å, degrees): 7.815 7.815 2.818 90.00 90.00 120.00
Atoms (fractional coordinates):
Na 0.333 0.667 0.000
Na 0.667 0.333 0.000
As 0.000 0.000 0.500
Pd 0.000 0.322 0.724
Pd 0.000 0.678 0.276
Pd 0.322 0.000 0.724
Pd 0.322 0.322 0.276
Pd 0.678 0.000 0.276
Pd 0.678 0.678 0.724

5.
The following is a DFT calculation (PBE) of an optimized crystal structure of LiNi2BPd.

Energy of formation, kJ/mol of formula units: -98

Lattice parameters (Å, degrees): 3.828 3.828 4.138 90.00 90.00 90.00
Atoms (fractional coordinates):
Li 0.000 0.000 0.000
Ni 0.000 0.500 0.500
Ni 0.500 0.000 0.500
B 0.500 0.500 0.500
Pd 0.500 0.500 0.000

6.
The following is a DFT calculation (PBE) of an optimized crystal structure of Ac6Pr5Th.

Energy of formation, kJ/mol of formula units: 60

Lattice parameters (Å, degrees): 10.160 10.160 10.160 148.82 116.30 72.62
Atoms (fractional coordinates):
Ac 0.085 0.335 0.749
Ac 0.247 0.000 0.247
Ac 0.414 0.665 0.749
Ac 0.586 0.335 0.251
Ac 0.753 0.000 0.753
Ac 0.915 0.665 0.251
Pr 0.159 0.159 0.000
Pr 0.332 0.832 0.500
Pr 0.500 0.500 0.000
Pr 0.668 0.168 0.500
Pr 0.841 0.841 0.000
Th 0.000 0.500 0.500

It is found that the total magnetization values, taken in the order of the records, are 2.9 3.2 0.0 0.0 0.0 0.0 μB/f.u..
It is found that the calculated density values, taken in the order of the records, are 4.0 3.6 3.7 8.5 6.6 8.0 Mg/m³.
It is found that the raw total energy values, taken in the order of the records, are -4.0538 -2.6370 -2.7773 -4.3452 -5.2729 -4.6124 eV per atom.